No. 1
DFT (GGA-PBE) results for a geometry-optimized InPSN2 structure.

The polymorph energy (0 for the lowest one) comes out at 5.50 eV per formula unit. The calculation puts the uncorrected formation energy at 1.81 eV per atom. The total energy is -19.858 eV/f.u.

Lattice parameters (Å, degrees): 4.196 4.196 5.401 90.00 90.00 90.00
Site moments in Bohr magnetons follow the coordinates.
Sites, in units of the cell vectors:
1 S 0.000 0.000 0.500  0.09
2 In 0.000 0.000 0.000  -0.01
3 N 0.500 0.000 0.000  1.09
4 N 0.000 0.500 0.000  1.09
5 P 0.500 0.500 0.500  -0.46


No. 2
DFT (GGA-PBE) results for a geometry-optimized TaCu2Mo structure.

The polymorph energy (0 for the lowest one) comes out at 0.91 eV per formula unit. For the formation energy from the elements, the calculation gives 0.336 eV/atom. The total energy is -29.531 eV/f.u.

Lattice parameters (Å, degrees): 4.353 4.353 4.353 60.00 60.00 60.00
Sites, in units of the cell vectors:
1 Cu 0.750 0.750 0.750
2 Cu 0.250 0.250 0.250
3 Mo 0.000 0.000 0.000
4 Ta 0.500 0.500 0.500


No. 3
DFT (GGA-PBE) results for a geometry-optimized Pr5Sb4Pb structure.

The calculation puts the uncorrected formation energy at -1.03 eV per atom. The total energy is -54.435 eV/f.u.

Lattice parameters (Å, degrees): 6.457 7.909 7.909 80.41 65.91 65.91
Sites, in units of the cell vectors:
1 Pr 0.305 0.798 0.593
2 Pr 0.501 0.000 0.000
3 Pr 0.103 0.593 0.202
4 Pr 0.899 0.407 0.798
5 Pr 0.696 0.202 0.407
6 Sb 0.601 0.600 0.200
7 Sb 0.401 0.400 0.800
8 Sb 0.801 0.800 0.600
9 Sb 0.201 0.200 0.400
10 Pb 0.002 0.000 0.000